(1)
VASP calculation (PBE-GGA) on a relaxed structure of In3Hg12S5.

Cell: 14.2707 14.2707 14.2707 Å, 109.47 109.47 109.47°
Fractional positions:
In1 0.7500 0.3750 0.1250
In2 0.8750 0.7500 0.1250
In3 0.3750 0.7500 0.6250
In4 0.2500 0.1250 0.3750
In5 0.8750 0.1250 0.2500
In6 0.3750 0.6250 0.2500
In7 0.6250 0.3750 0.7500
In8 0.1250 0.8750 0.7500
In9 0.7500 0.8750 0.6250
In10 0.6250 0.2500 0.3750
In11 0.1250 0.2500 0.8750
In12 0.2500 0.6250 0.8750
S1 0.1250 0.3750 0.2500
S2 0.0000 0.5000 0.0000
S3 0.0000 0.0000 0.0000
S4 0.3750 0.2500 0.1250
S5 0.5000 0.0000 0.5000
S6 0.5000 0.5000 0.0000
S7 0.1250 0.7500 0.3750
S8 0.7500 0.1250 0.8750
S9 0.7500 0.6250 0.3750
S10 0.3750 0.1250 0.7500
S11 0.6250 0.8750 0.2500
S12 0.5000 0.5000 0.5000
S13 0.5000 0.0000 0.0000
S14 0.0000 0.0000 0.5000
S15 0.2500 0.3750 0.6250
S16 0.2500 0.8750 0.1250
S17 0.0000 0.5000 0.5000
S18 0.8750 0.2500 0.6250
S19 0.6250 0.7500 0.8750
S20 0.8750 0.6250 0.7500
Hg1 0.7312 0.1241 0.0533
Hg2 0.3221 0.5533 0.4291
Hg3 0.9467 0.3759 0.2688
Hg4 0.5533 0.2312 0.1241
Hg5 0.6071 0.7312 0.6779
Hg6 0.9467 0.5709 0.1779
Hg7 0.3221 0.7688 0.3929
Hg8 0.0709 0.8929 0.1241
Hg9 0.5709 0.9467 0.6779
Hg10 0.7312 0.6071 0.1779
Hg11 0.7688 0.4467 0.3759
Hg12 0.8221 0.9291 0.0533
Hg13 0.1241 0.7312 0.5533
Hg14 0.3759 0.4291 0.1071
Hg15 0.1071 0.9291 0.3759
Hg16 0.3929 0.1241 0.5709
Hg17 0.1071 0.1779 0.2312
Hg18 0.4467 0.6779 0.0709
Hg19 0.8221 0.8929 0.2688
Hg20 0.1241 0.3929 0.0709
Hg21 0.3759 0.9467 0.7688
Hg22 0.5709 0.6241 0.3929
Hg23 0.9291 0.8221 0.5533
Hg24 0.7688 0.3221 0.8929
Hg25 0.4291 0.3759 0.6071
Hg26 0.0709 0.1779 0.4467
Hg27 0.2312 0.6779 0.1071
Hg28 0.1779 0.1071 0.7312
Hg29 0.6241 0.0533 0.2312
Hg30 0.8759 0.6071 0.9291
Hg31 0.5533 0.3221 0.9291
Hg32 0.6071 0.8759 0.4291
Hg33 0.8929 0.8221 0.7688
Hg34 0.8929 0.0709 0.6241
Hg35 0.8759 0.2688 0.4467
Hg36 0.1779 0.0709 0.9467
Hg37 0.6241 0.5709 0.8929
Hg38 0.4291 0.0533 0.3221
Hg39 0.2688 0.3929 0.8221
Hg40 0.2312 0.5533 0.6241
Hg41 0.9291 0.1071 0.8759
Hg42 0.6779 0.2312 0.6071
Hg43 0.4467 0.7688 0.8759
Hg44 0.0533 0.4291 0.8221
Hg45 0.3929 0.2688 0.3221
Hg46 0.0533 0.6241 0.7312
Hg47 0.6779 0.4467 0.5709
Hg48 0.2688 0.8759 0.9467

Summary:
- N(E_F): 30.009 states/eV/cell
- Formation energy without anion corrections: 56 meV/atom

(2)
VASP calculation (PBE-GGA) on a relaxed structure of NbBMo2S.

Cell: 4.5813 3.6252 4.5813 Å, 90.00 90.00 90.00°
Fractional positions:
S1 0.0000 0.0000 0.0000
Mo1 0.0000 0.0000 0.5000
Mo2 0.5000 0.0000 0.0000
B1 0.0000 0.5000 0.0000
Nb1 0.5000 0.5000 0.5000

Summary:
- N(E_F): 5.573 states/eV/cell
- Formation energy without anion corrections: 929 meV/atom

(3)
VASP calculation (PBE-GGA) on a relaxed structure of KTlCdSe2.

Cell: 4.4392 9.5537 9.0321 Å, 67.04 75.77 76.57°
Fractional positions:
K1 0.7612 0.7960 0.6816
K2 0.2388 0.2040 0.3184
Tl1 0.3977 0.4075 0.7970
Tl2 0.6023 0.5925 0.2030
Cd1 0.0581 0.0840 0.7998
Cd2 0.9419 0.9160 0.2002
Se1 0.3950 0.8241 0.3860
Se2 0.6050 0.1759 0.6140
Se3 0.8732 0.2264 0.0272
Se4 0.1268 0.7736 0.9728

Summary:
- N(E_F): 0.000 states/eV/cell
- Formation energy without anion corrections: -738 meV/atom

(4)
VASP calculation (PBE-GGA) on a relaxed structure of Tb2Ho8Sc3.

Cell: 6.0208 6.0128 11.4906 Å, 69.55 84.93 80.47°
Fractional positions:
Tb1 0.7690 0.8455 0.5393
Tb2 0.2310 0.1545 0.4607
Ho1 0.0817 0.3929 0.1477
Ho2 0.9183 0.6071 0.8523
Ho3 0.1584 0.7752 0.3009
Ho4 0.8416 0.2248 0.6991
Ho5 0.3801 0.9152 0.7782
Ho6 0.3074 0.5335 0.6202
Ho7 0.6926 0.4665 0.3798
Ho8 0.6199 0.0848 0.2218
Sc1 0.0000 0.0000 0.0000
Sc2 0.4611 0.3002 0.9266
Sc3 0.5389 0.6998 0.0734

Summary:
- Formation enthalpy at 0 K: 0.042 eV/atom
- N(E_F): 20.199 states/eV/cell
- Excess energy over the best structure of this formula in the dataset: 0 meV per atom

(5)
VASP calculation (PBE-GGA) on a relaxed structure of SrMn3Pb.

Cell: 5.2785 5.2785 5.2785 Å, 90.00 90.00 90.00°
Fractional positions:
Pb1 0.5000 0.5000 0.5000
Sr1 0.0000 0.0000 0.0000
Mn1 0.0000 0.5000 0.0000
Mn2 0.0000 0.0000 0.5000
Mn3 0.5000 0.0000 0.0000

Summary:
- Formation enthalpy at 0 K: 1.764 eV/atom
- N(E_F): 5.866 states/eV/cell
- Excess energy over the best structure of this formula in the dataset: 867 meV per atom

(6)
VASP calculation (PBE-GGA) on a relaxed structure of NaSnH.

Cell: 5.1450 4.3850 6.3572 Å, 90.00 110.54 90.00°
Fractional positions:
Na1 0.6744 0.2500 0.3106
Na2 0.3256 0.7500 0.6894
Sn1 0.8401 0.2500 0.8583
Sn2 0.1599 0.7500 0.1417
H1 0.0573 0.2500 0.6843
H2 0.9427 0.7500 0.3157

Summary:
- N(E_F): 0.031 states/eV/cell
- Excess energy over the best structure of this formula in the dataset: 31 meV per atom

(7)
VASP calculation (PBE-GGA) on a relaxed structure of Cr2CuIr.

Cell: 4.9246 4.9246 4.9246 Å, 146.02 128.27 63.35°
Fractional positions:
Cr1 0.9840 0.9840 0.0000
Cr2 0.7698 0.2698 0.5000
Cu1 0.5101 0.5101 0.0000
Ir1 0.2360 0.7360 0.5000

Summary:
- Formation enthalpy at 0 K: 0.134 eV/atom
- N(E_F): 5.006 states/eV/cell

(8)
VASP calculation (PBE-GGA) on a relaxed structure of Sr5Pb.

Cell: 4.1325 4.1325 16.8529 Å, 90.00 90.00 90.00°
Fractional positions:
Pb1 0.5000 0.5000 0.0000
Sr1 0.0000 0.0000 0.8780
Sr2 0.0000 0.0000 0.1220
Sr3 0.5000 0.5000 0.6856
Sr4 0.5000 0.5000 0.3144
Sr5 0.0000 0.0000 0.5000

Summary:
- Formation enthalpy at 0 K: -0.188 eV/atom
- N(E_F): 4.787 states/eV/cell
- Excess energy over the best structure of this formula in the dataset: 0 meV per atom

(9)
VASP calculation (PBE-GGA) on a relaxed structure of Al2Ga6Ag.

Cell: 2.9265 2.9265 21.9171 Å, 90.00 90.00 120.00°
Fractional positions:
Al1 0.6667 0.3333 0.3321
Al2 0.6667 0.3333 0.6679
Ga1 0.6667 0.3333 0.8914
Ga2 0.3333 0.6667 0.4398
Ga3 0.3333 0.6667 0.7808
Ga4 0.3333 0.6667 0.2192
Ga5 0.3333 0.6667 0.5602
Ga6 0.6667 0.3333 0.1086
Ag1 0.3333 0.6667 0.0000

Summary:
- Formation enthalpy at 0 K: 0.019 eV/atom
- N(E_F): 0.968 states/eV/cell
- Excess energy over the best structure of this formula in the dataset: 0 meV per atom

(10)
VASP calculation (PBE-GGA) on a relaxed structure of LaSm6Er8.

Cell: 9.0476 9.0476 8.6816 Å, 58.60 58.60 60.00°
Fractional positions:
La1 0.0000 0.0000 0.0000
Sm1 0.1047 0.5360 0.1302
Sm2 0.7709 0.8953 0.8698
Sm3 0.4640 0.7709 0.8698
Sm4 0.5360 0.2291 0.1302
Sm5 0.2291 0.1047 0.1302
Sm6 0.8953 0.4640 0.8698
Er1 0.8880 0.2834 0.5754
Er2 0.7468 0.1120 0.4246
Er3 0.7166 0.7468 0.4246
Er4 0.4233 0.4233 0.7300
Er5 0.5767 0.5767 0.2700
Er6 0.2834 0.2532 0.5754
Er7 0.2532 0.8880 0.5754
Er8 0.1120 0.7166 0.4246

Summary:
- Formation enthalpy at 0 K: 0.132 eV/atom
- N(E_F): 22.436 states/eV/cell

N(E_F) of number 6 (NaSnH)?
0.031 states/eV/cell

Which value of N(E_F) does entry 5 give?
5.866 states/eV/cell

What is the formula in the eighth record?
Sr5Pb